PBE+U Li3CrFe4O8, relaxed; total DFT energy (no corrections) = -6.433 eV/atom; crystal system = monoclinic; volume = 156.6 Å³ per cell
1.0
5.206 -3.021 0.000
5.206 3.021 0.000
-3.521 0.000 4.980
Li Cr Fe O
3 1 4 8
direct
0.000 0.000 0.000 Li
0.000 0.500 0.000 Li
0.500 0.000 0.000 Li
0.500 0.500 0.500 Cr
0.000 0.000 0.500 Fe
0.000 0.500 0.500 Fe
0.500 0.000 0.500 Fe
0.500 0.500 0.000 Fe
0.251 0.732 0.727 O
0.255 0.255 0.737 O
0.258 0.258 0.274 O
0.268 0.749 0.273 O
0.732 0.251 0.727 O
0.742 0.742 0.726 O
0.745 0.745 0.263 O
0.749 0.268 0.273 O